# 1
Crystalline Y12Ni6Pb at its relaxed geometry. Source: Alexandria via LeMat-Bulk, functional GGA-PBE.

- magnetization (μB/cell) = 0.00
- formation enthalpy at 0 K (eV per atom) = -0.376
- SG = Im-3

a = 8.469 Å, b = 8.469 Å, c = 8.469 Å
α = 109.47°, β = 109.47°, γ = 109.47°
Element x y z (fractional)
1 Y 0.116 0.304 0.812
2 Y 0.507 0.696 0.812
3 Y 0.304 0.188 0.493
4 Y 0.812 0.116 0.304
5 Y 0.812 0.507 0.696
6 Y 0.884 0.696 0.188
7 Y 0.188 0.884 0.696
8 Y 0.304 0.812 0.116
9 Y 0.188 0.493 0.304
10 Y 0.696 0.812 0.507
11 Y 0.696 0.188 0.884
12 Y 0.493 0.304 0.188
13 Ni 0.878 0.500 0.378
14 Ni 0.500 0.622 0.122
15 Ni 0.622 0.122 0.500
16 Ni 0.378 0.878 0.500
17 Ni 0.500 0.378 0.878
18 Ni 0.122 0.500 0.622
19 Pb 0.000 0.000 0.000

=====

# 2
Crystalline PrDy3Ru8 at its relaxed geometry. Source: Alexandria via LeMat-Bulk, functional GGA-PBE.

- magnetization (μB/cell) = 0.00
- formation enthalpy at 0 K (eV per atom) = -0.243
- SG = R3m

a = 5.349 Å, b = 5.349 Å, c = 9.335 Å
α = 73.35°, β = 73.35°, γ = 60.00°
Element x y z (fractional)
1 Ru 0.438 0.942 0.183
2 Ru 0.938 0.432 0.692
3 Ru 0.688 0.688 0.937
4 Ru 0.942 0.438 0.183
5 Ru 0.432 0.938 0.692
6 Ru 0.438 0.438 0.183
7 Ru 0.938 0.938 0.692
8 Ru 0.187 0.187 0.438
9 Dy 0.000 0.000 0.000
10 Dy 0.375 0.375 0.874
11 Dy 0.500 0.500 0.501
12 Pr 0.875 0.875 0.376

=====

# 3
Crystalline Nb2Cd2O7 at its relaxed geometry. Source: Alexandria via LeMat-Bulk, functional GGA-PBE.

- magnetization (μB/cell) = 0.00
- energy relative to the elements, uncorrected (eV/atom) = -1.76
- SG = Fd-3m

a = 7.259 Å, b = 7.259 Å, c = 7.259 Å
α = 60.00°, β = 60.00°, γ = 60.00°
Element x y z (fractional)
1 O 0.000 0.000 0.000
2 O 0.767 0.233 0.767
3 O 0.233 0.767 0.233
4 O 0.483 0.017 0.483
5 O 0.767 0.767 0.233
6 O 0.233 0.767 0.767
7 O 0.483 0.017 0.017
8 O 0.250 0.250 0.250
9 O 0.233 0.233 0.767
10 O 0.017 0.017 0.483
11 O 0.767 0.233 0.233
12 O 0.483 0.483 0.017
13 O 0.017 0.483 0.017
14 O 0.017 0.483 0.483
15 Cd 0.625 0.625 0.625
16 Cd 0.625 0.625 0.125
17 Cd 0.625 0.125 0.625
18 Cd 0.125 0.625 0.625
19 Nb 0.625 0.125 0.125
20 Nb 0.125 0.625 0.125
21 Nb 0.125 0.125 0.625
22 Nb 0.125 0.125 0.125

=====

# 4
Crystalline TbNd2Sm12 at its relaxed geometry. Source: Alexandria via LeMat-Bulk, functional GGA-PBE.

- magnetization (μB/cell) = 0.00
- formation enthalpy at 0 K (eV per atom) = 0.155
- SG = Cmme

a = 6.802 Å, b = 6.802 Å, c = 24.995 Å
α = 90.00°, β = 90.00°, γ = 116.35°
Element x y z (fractional)
1 Sm 0.500 0.500 0.199
2 Sm 0.249 0.251 0.924
3 Sm 0.000 0.000 0.801
4 Sm 0.273 0.227 0.560
5 Sm 0.251 0.751 0.873
6 Sm 0.749 0.249 0.873
7 Sm 0.727 0.773 0.560
8 Sm 0.231 0.731 0.583
9 Sm 0.500 0.500 0.327
10 Sm 0.500 0.500 0.673
11 Sm 0.227 0.273 0.440
12 Sm 0.251 0.249 0.076
13 Sm 0.500 0.500 0.801
14 Sm 0.000 0.000 0.327
15 Sm 0.749 0.751 0.076
16 Sm 0.751 0.251 0.127
17 Sm 0.773 0.727 0.440
18 Sm 0.751 0.749 0.924
19 Sm 0.000 0.000 0.199
20 Sm 0.769 0.269 0.583
21 Sm 0.269 0.769 0.417
22 Sm 0.731 0.231 0.417
23 Sm 0.249 0.749 0.127
24 Sm 0.000 0.000 0.673
25 Nd 0.500 0.000 0.727
26 Nd 0.000 0.500 0.734
27 Nd 0.000 0.500 0.273
28 Nd 0.500 0.000 0.266
29 Tb 0.000 0.500 0.000
30 Tb 0.500 0.000 0.000

=====

# 5
Crystalline VCo3Ge at its relaxed geometry. Source: Alexandria via LeMat-Bulk, functional GGA-PBE.

- magnetization (μB/cell) = 1.47
- formation enthalpy at 0 K (eV per atom) = 1.071
- energy above the lowest structure with this stoichiometry (kJ per mole of atoms) = 99.91
- SG = Pm-3m

a = 4.233 Å, b = 4.233 Å, c = 4.233 Å
α = 90.00°, β = 90.00°, γ = 90.00°
Site moments in Bohr magnetons follow the coordinates.
Element x y z (fractional)
1 Co 0.000 0.500 0.000  0.58
2 Co 0.500 0.000 0.000  0.58
3 Co 0.000 0.000 0.500  0.58
4 Ge 0.500 0.500 0.500  0.04
5 V 0.000 0.000 0.000  -0.33

=====

# 6
Crystalline Tm5Cd2Ag2 at its relaxed geometry. Source: Alexandria via LeMat-Bulk, functional GGA-PBE.

- magnetization (μB/cell) = 0.00
- formation enthalpy at 0 K (eV per atom) = -0.187
- SG = Cmce

a = 7.370 Å, b = 7.361 Å, c = 9.388 Å
α = 113.08°, β = 90.00°, γ = 90.00°
Element x y z (fractional)
1 Cd 0.500 0.276 0.552
2 Cd 0.000 0.224 0.448
3 Cd 0.000 0.776 0.552
4 Cd 0.500 0.724 0.448
5 Tm 0.323 0.951 0.266
6 Tm 0.323 0.685 0.734
7 Tm 0.000 0.000 0.000
8 Tm 0.677 0.049 0.734
9 Tm 0.677 0.315 0.266
10 Tm 0.823 0.815 0.266
11 Tm 0.177 0.451 0.266
12 Tm 0.177 0.185 0.734
13 Tm 0.500 0.500 0.000
14 Tm 0.823 0.549 0.734
15 Ag 0.369 0.130 0.000
16 Ag 0.869 0.370 0.000
17 Ag 0.131 0.630 0.000
18 Ag 0.631 0.870 0.000

=====

# 7
Crystalline PmGePb2 at its relaxed geometry. Source: Alexandria via LeMat-Bulk, functional GGA-PBE.

- magnetization (μB/cell) = 0.00
- formation enthalpy at 0 K (eV per atom) = -0.324
- energy above the lowest structure with this stoichiometry (kJ per mole of atoms) = 0.00
- SG = P4/mmm

a = 4.967 Å, b = 4.666 Å, c = 4.666 Å
α = 90.00°, β = 90.00°, γ = 90.00°
Element x y z (fractional)
1 Pm 0.500 0.500 0.500
2 Pb 0.000 0.500 0.000
3 Pb 0.000 0.000 0.500
4 Ge 0.500 0.000 0.000

=====

# 8
Crystalline CuNi2Te at its relaxed geometry. Source: Alexandria via LeMat-Bulk, functional GGA-PBE.

- magnetization (μB/cell) = 0.00
- energy relative to the elements, uncorrected (eV/atom) = 0.26
- SG = I-42d

a = 3.782 Å, b = 3.782 Å, c = 8.960 Å
α = 77.81°, β = 77.81°, γ = 90.00°
Element x y z (fractional)
1 Te 0.000 0.000 0.000
2 Te 0.750 0.250 0.500
3 Ni 0.375 0.383 0.750
4 Ni 0.617 0.125 0.250
5 Ni 0.133 0.625 0.250
6 Ni 0.875 0.867 0.750
7 Cu 0.500 0.500 0.000
8 Cu 0.250 0.750 0.500

=====

# 9
Crystalline Ac2LaPm8 at its relaxed geometry. Source: Alexandria via LeMat-Bulk, functional GGA-PBE.

- magnetization (μB/cell) = 0.00
- formation enthalpy at 0 K (eV per atom) = 0.172
- energy above the lowest structure with this stoichiometry (kJ per mole of atoms) = 3.10
- SG = C2/m

a = 5.747 Å, b = 10.711 Å, c = 10.711 Å
α = 39.15°, β = 92.94°, γ = 92.94°
Element x y z (fractional)
1 Pm 0.734 0.392 0.858
2 Pm 0.734 0.858 0.392
3 Pm 0.266 0.608 0.142
4 Pm 0.762 0.456 0.456
5 Pm 0.773 0.822 0.822
6 Pm 0.238 0.544 0.544
7 Pm 0.227 0.178 0.178
8 Pm 0.266 0.142 0.608
9 La 0.000 0.000 0.000
10 Ac 0.744 0.281 0.281
11 Ac 0.256 0.719 0.719

=====

# 10
Crystalline TaCu2Te4 at its relaxed geometry. Source: Alexandria via LeMat-Bulk, functional GGA-PBE.

- magnetization (μB/cell) = 0.00
- energy relative to the elements, uncorrected (eV/atom) = 0.05
- SG = Imma

a = 8.082 Å, b = 8.083 Å, c = 8.089 Å
α = 119.96°, β = 120.02°, γ = 89.93°
Element x y z (fractional)
1 Ta 0.250 0.750 0.500
2 Ta 0.000 0.000 0.000
3 Cu 0.625 0.375 0.750
4 Cu 0.125 0.375 0.750
5 Cu 0.625 0.875 0.250
6 Cu 0.625 0.375 0.250
7 Te 0.849 0.616 0.233
8 Te 0.383 0.617 0.233
9 Te 0.867 0.133 0.267
10 Te 0.401 0.134 0.267
11 Te 0.383 0.150 0.767
12 Te 0.867 0.133 0.733
13 Te 0.383 0.617 0.767
14 Te 0.867 0.600 0.733

=====

# 11
Crystalline GaH2I6 at its relaxed geometry. Source: Alexandria via LeMat-Bulk, functional GGA-PBE.

- magnetization (μB/cell) = 2.05
- SG = C2/c

a = 7.434 Å, b = 13.214 Å, c = 13.214 Å
α = 69.24°, β = 54.01°, γ = 54.01°
Site moments in Bohr magnetons follow the coordinates.
Element x y z (fractional)
1 H 0.352 0.378 0.333  0.00
2 H 0.648 0.622 0.667  0.00
3 H 0.852 0.333 0.378  0.00
4 H 0.148 0.667 0.622  0.00
5 I 0.291 0.020 0.152  0.30
6 I 0.164 0.136 0.621  0.02
7 I 0.832 0.555 0.729  0.03
8 I 0.664 0.621 0.136  0.02
9 I 0.791 0.152 0.020  0.30
10 I 0.836 0.864 0.379  0.02
11 I 0.668 0.271 0.445  0.03
12 I 0.332 0.729 0.555  0.03
13 I 0.709 0.980 0.848  0.30
14 I 0.168 0.445 0.271  0.03
15 I 0.336 0.379 0.864  0.02
16 I 0.209 0.848 0.980  0.30
17 Ga 0.250 0.826 0.174  -0.01
18 Ga 0.750 0.174 0.826  -0.01

=====

# 12
Crystalline Pm7NdTm4 at its relaxed geometry. Source: Alexandria via LeMat-Bulk, functional GGA-PBE.

- magnetization (μB/cell) = 0.00
- formation enthalpy at 0 K (eV per atom) = 0.001
- energy above the lowest structure with this stoichiometry (kJ per mole of atoms) = 0.00
- SG = P-1

a = 7.255 Å, b = 6.284 Å, c = 11.510 Å
α = 79.53°, β = 50.93°, γ = 90.03°
Element x y z (fractional)
1 Pm 0.500 0.000 0.000
2 Pm 0.665 0.223 0.335
3 Pm 0.085 0.281 0.664
4 Pm 0.915 0.719 0.336
5 Pm 0.335 0.777 0.665
6 Pm 0.744 0.500 0.002
7 Pm 0.256 0.500 0.998
8 Nd 0.000 0.000 0.000
9 Tm 0.164 0.219 0.336
10 Tm 0.836 0.781 0.664
11 Tm 0.589 0.278 0.665
12 Tm 0.411 0.722 0.335

=====

For each record above, in turn, the calculated density of states at the Fermi level values are 1.235 1.284 0.000 1.470 1.167 0.916 0.558 1.134 1.569 0.656 0.034 1.255 states/eV/atom.
For each record above, in turn, the calculated raw total energy values are -123.10 -95.71 -151.99 -136.94 -29.70 -63.14 -18.08 -35.50 -49.25 -64.46 -40.69 -55.90 eV/cell.